[1]
Tb4DyTmSc2 after structural relaxation, computed with PBE-GGA.

Lattice parameters (Å, degrees): 11.968 6.961 11.973 106.94 146.19 89.98
Sites, in units of the cell vectors:
Tb  0.250  0.250  0.502
Sc  0.000  0.000  0.500
Tm  0.500  0.500  0.500
Tb  0.750  0.247  0.497
Tm  0.000  0.000  0.000
Tb  0.747  0.753  0.006
Dy  0.000  0.500  0.000
Sc  0.500  0.000  0.000
Tb  0.750  0.750  0.498
Tb  0.747  0.250  0.999
Sc  0.500  0.500  0.000
Dy  0.000  0.500  0.500
Tb  0.253  0.247  0.994
Tb  0.250  0.753  0.503
Sc  0.500  0.000  0.500
Tb  0.253  0.750  0.001

Values from the calculation:
As for the formation energy: 0.040 eV per atom. The total energy comes out at -4.99 eV per atom.



[2]
Ba6Tl2CuO after structural relaxation, computed with PBE-GGA.

Lattice parameters (Å, degrees): 8.284 8.287 11.690 90.00 90.00 90.00
Sites, in units of the cell vectors:
Ba  0.500  0.250  0.735
Cu  0.000  0.750  0.500
Ba  0.265  0.484  0.500
Ba  0.266  0.014  0.500
O  0.000  0.750  0.000
Ba  0.735  0.484  0.500
Ba  0.766  0.986  0.000
Ba  0.000  0.750  0.765
Tl  0.000  0.249  0.250
Tl  0.500  0.751  0.250
Cu  0.500  0.250  0.000
Ba  0.734  0.014  0.500
Tl  0.000  0.249  0.750
O  0.500  0.250  0.500
Ba  0.500  0.250  0.265
Ba  0.235  0.516  0.000
Tl  0.500  0.751  0.750
Ba  0.000  0.750  0.235
Ba  0.234  0.986  0.000
Ba  0.765  0.516  0.000

Values from the calculation:
The total energy comes out at -3.09 eV per atom.



[3]
Sc2CuSb2 after structural relaxation, computed with PBE-GGA.

Lattice parameters (Å, degrees): 7.365 7.365 4.070 90.00 90.00 90.00
Sites, in units of the cell vectors:
Sb  0.156  0.344  0.000
Sc  0.654  0.846  0.500
Cu  0.500  0.500  0.000
Sb  0.656  0.156  0.000
Cu  0.000  0.000  0.000
Sb  0.344  0.844  0.000
Sb  0.844  0.656  0.000
Sc  0.154  0.654  0.500
Sc  0.346  0.154  0.500
Sc  0.846  0.346  0.500

Values from the calculation:
The value obtained for the excess energy over the best structure of this formula in the dataset is 0 kJ/mol of formula units. The total energy comes out at -5.47 eV per atom.



[4]
Dy2NiB2Ir5 after structural relaxation, computed with PBE-GGA.

Lattice parameters (Å, degrees): 3.186 9.489 9.489 90.00 90.00 90.00
Last column: magnetic moment on the atom in μB.
Sites, in units of the cell vectors:
Ir  0.500  0.718  0.432  0.11
Ir  0.500  0.782  0.932  0.11
Ir  0.500  0.218  0.068  0.11
Ir  0.500  0.932  0.218  0.11
Ir  0.500  0.432  0.282  0.11
Ir  0.500  0.500  0.000  0.03
Dy  0.000  0.678  0.178  -0.01
Ir  0.500  0.568  0.718  0.11
Ir  0.500  0.000  0.500  0.03
B  0.000  0.877  0.377  0.00
B  0.000  0.377  0.123  0.00
Ir  0.500  0.282  0.568  0.11
B  0.000  0.623  0.877  0.00
Dy  0.000  0.322  0.822  -0.01
Dy  0.000  0.178  0.322  -0.01
Dy  0.000  0.822  0.678  -0.01
Ni  0.000  0.000  0.000  0.51
Ir  0.500  0.068  0.782  0.11
B  0.000  0.123  0.623  0.00
Ni  0.000  0.500  0.500  0.51

Values from the calculation:
As for the formation energy: -0.561 eV per atom. The total energy comes out at -7.83 eV per atom.



[5]
Ho3Th3Sc5 after structural relaxation, computed with PBE-GGA.

Lattice parameters (Å, degrees): 6.560 8.754 9.695 117.24 112.53 114.72
Sites, in units of the cell vectors:
Th  0.035  0.901  0.365
Th  0.286  0.443  0.536
Th  0.688  0.374  0.178
Ho  0.049  0.007  0.068
Ho  0.432  0.829  0.017
Sc  0.691  0.275  0.492
Sc  0.355  0.621  0.263
Sc  0.149  0.288  0.786
Sc  0.763  0.467  0.884
Sc  0.957  0.803  0.659
Ho  0.594  0.991  0.753

Values from the calculation:
As for the formation energy: 0.091 eV per atom. The value obtained for the excess energy over the best structure of this formula in the dataset is 0 kJ/mol of formula units. The total energy comes out at -6.06 eV per atom.



[6]
NaPdN2 after structural relaxation, computed with PBE-GGA.

Lattice parameters (Å, degrees): 7.407 7.407 7.407 23.47 23.47 23.47
Last column: magnetic moment on the atom in μB.
Sites, in units of the cell vectors:
Na  0.500  0.500  0.500  0.01
N  0.087  0.087  0.087  0.77
N  0.913  0.913  0.913  0.77
Pd  0.000  0.000  0.000  0.24

Values from the calculation:
The value obtained for the excess energy over the best structure of this formula in the dataset is 506 kJ/mol of formula units. The total energy comes out at -4.47 eV per atom.



Copy entry 2 word for word.
Ba6Tl2CuO after structural relaxation, computed with PBE-GGA.

Lattice parameters (Å, degrees): 8.284 8.287 11.690 90.00 90.00 90.00
Sites, in units of the cell vectors:
Ba  0.500  0.250  0.735
Cu  0.000  0.750  0.500
Ba  0.265  0.484  0.500
Ba  0.266  0.014  0.500
O  0.000  0.750  0.000
Ba  0.735  0.484  0.500
Ba  0.766  0.986  0.000
Ba  0.000  0.750  0.765
Tl  0.000  0.249  0.250
Tl  0.500  0.751  0.250
Cu  0.500  0.250  0.000
Ba  0.734  0.014  0.500
Tl  0.000  0.249  0.750
O  0.500  0.250  0.500
Ba  0.500  0.250  0.265
Ba  0.235  0.516  0.000
Tl  0.500  0.751  0.750
Ba  0.000  0.750  0.235
Ba  0.234  0.986  0.000
Ba  0.765  0.516  0.000

Values from the calculation:
The total energy comes out at -3.09 eV per atom.



Repeat the first record exactly.
Tb4DyTmSc2 after structural relaxation, computed with PBE-GGA.

Lattice parameters (Å, degrees): 11.968 6.961 11.973 106.94 146.19 89.98
Sites, in units of the cell vectors:
Tb  0.250  0.250  0.502
Sc  0.000  0.000  0.500
Tm  0.500  0.500  0.500
Tb  0.750  0.247  0.497
Tm  0.000  0.000  0.000
Tb  0.747  0.753  0.006
Dy  0.000  0.500  0.000
Sc  0.500  0.000  0.000
Tb  0.750  0.750  0.498
Tb  0.747  0.250  0.999
Sc  0.500  0.500  0.000
Dy  0.000  0.500  0.500
Tb  0.253  0.247  0.994
Tb  0.250  0.753  0.503
Sc  0.500  0.000  0.500
Tb  0.253  0.750  0.001

Values from the calculation:
As for the formation energy: 0.040 eV per atom. The total energy comes out at -4.99 eV per atom.